Entry 1:
{"formula": "KSc2Cl", "functional": "GGA-PBE", "state": "relaxed", "e_form_raw_mev_per_atom": 550, "energy_ev_per_atom": -3.35, "lattice": [[2.981, -4.301, 1.670], [3.215, 0.441, 4.432], [-1.333, -2.633, 4.633]], "species": ["Sc", "Sc", "K", "Cl"], "fractional_positions": [[0.250, 0.250, 0.250], [0.750, 0.750, 0.750], [0.500, 0.500, 0.500], [0.000, 0.000, 0.000]]}

=====

Entry 2:
{"formula": "KSc2Cl", "functional": "GGA-PBE", "state": "relaxed", "e_form_raw_mev_per_atom": -199, "energy_ev_per_atom": -4.10, "lattice": [[-7.279, 6.689, -4.704], [-9.171, 5.614, -2.057], [-7.009, 8.244, -1.663]], "species": ["Sc", "Sc", "K", "Cl"], "fractional_positions": [[0.978, 0.978, 0.978], [0.522, 0.522, 0.522], [0.750, 0.750, 0.750], [0.250, 0.250, 0.250]]}

=====

Entry 3:
{"formula": "K2Sc2Cl7", "functional": "GGA-PBE", "state": "relaxed", "e_form_raw_mev_per_atom": -1957, "energy_ev_per_atom": -4.48, "lattice": [[-6.193, 3.150, -1.796], [-1.999, -1.306, 7.694], [4.651, 6.298, -1.899]], "species": ["K", "K", "Sc", "Sc", "Cl", "Cl", "Cl", "Cl", "Cl", "Cl", "Cl"], "fractional_positions": [[0.500, 0.309, 0.691], [0.500, 0.691, 0.309], [0.892, 0.281, 0.281], [0.108, 0.719, 0.719], [0.256, 0.930, 0.617], [0.744, 0.383, 0.070], [0.744, 0.070, 0.383], [0.256, 0.617, 0.930], [0.000, 0.000, 0.000], [0.771, 0.567, 0.567], [0.229, 0.433, 0.433]]}

=====

Entry 4:
{"formula": "KScCl2", "functional": "GGA-PBE", "state": "relaxed", "e_form_raw_mev_per_atom": -1273, "energy_ev_per_atom": -4.05, "lattice": [[-4.054, -3.912, -5.323], [-4.208, -6.466, -0.744], [1.970, 6.486, 3.757]], "species": ["Sc", "K", "Cl", "Cl"], "fractional_positions": [[0.205, 0.705, 0.500], [0.453, 0.453, 0.000], [0.072, 0.072, 0.000], [0.770, 0.270, 0.500]]}

=====

Entry 5:
{"formula": "KScCl2", "functional": "GGA-PBE", "state": "relaxed", "e_form_raw_mev_per_atom": -1037, "energy_ev_per_atom": -3.82, "lattice": [[-2.296, 1.189, -2.716], [-2.303, -7.346, -1.269], [-3.157, 0.492, 2.885]], "species": ["Sc", "K", "Cl", "Cl"], "fractional_positions": [[0.000, 0.500, 0.500], [0.500, 0.000, 0.500], [0.000, 0.000, 0.000], [0.500, 0.500, 0.000]]}

=====

Entry 6:
{"formula": "KScCl2", "functional": "GGA-PBE", "state": "relaxed", "e_form_raw_mev_per_atom": -1273, "energy_ev_per_atom": -4.05, "lattice": [[-2.551, -4.141, -3.931], [-0.871, -4.437, 4.320], [-1.807, 5.605, -2.101]], "species": ["Sc", "K", "Cl", "Cl"], "fractional_positions": [[0.250, 0.750, 0.500], [0.750, 0.250, 0.500], [0.058, 0.058, 0.000], [0.442, 0.442, 0.000]]}